Tb3ThAs4 | PBE | relaxed

a b c (Å): 4.177 7.216 7.216
angles (deg): 109.48 90.00 90.00
Positions (direct):
Tb  0.000  0.000  0.500
Tb  0.500  0.500  0.500
Tb  0.000  0.500  0.000
Th  0.500  0.000  0.000
As  0.000  0.254  0.254
As  0.500  0.748  0.252
As  0.000  0.746  0.746
As  0.500  0.252  0.748

Summary:
* ρ: 8.17 g/cm3
* total moment: 0.00 μB/f.u.
* space-group type: Cmmm (65)
* ΔE to the lowest computed polymorph: 0.0000 eV/atom
* formation energy: -1.5231 eV per atom
* electronic total energy: -52.09 eV per cell

---

Tb5Th3As12 | PBE | relaxed

a b c (Å): 14.641 14.641 14.641
angles (deg): 109.47 109.47 109.47
Positions (direct):
Th  0.750  0.375  0.125
Th  0.875  0.750  0.125
Th  0.375  0.750  0.625
Th  0.250  0.125  0.375
Th  0.875  0.125  0.250
Th  0.375  0.625  0.250
Th  0.625  0.375  0.750
Th  0.125  0.875  0.750
Th  0.750  0.875  0.625
Th  0.625  0.250  0.375
Th  0.125  0.250  0.875
Th  0.250  0.625  0.875
Tb  0.125  0.375  0.250
Tb  0.000  0.500  0.000
Tb  0.000  0.000  0.000
Tb  0.375  0.250  0.125
Tb  0.500  0.000  0.500
Tb  0.500  0.500  0.000
Tb  0.125  0.750  0.375
Tb  0.750  0.125  0.875
Tb  0.750  0.625  0.375
Tb  0.375  0.125  0.750
Tb  0.625  0.875  0.250
Tb  0.500  0.500  0.500
Tb  0.500  0.000  0.000
Tb  0.000  0.000  0.500
Tb  0.250  0.375  0.625
Tb  0.250  0.875  0.125
Tb  0.000  0.500  0.500
Tb  0.875  0.250  0.625
Tb  0.625  0.750  0.875
Tb  0.875  0.625  0.750
As  0.741  0.146  0.067
As  0.325  0.567  0.421
As  0.933  0.354  0.259
As  0.567  0.241  0.146
As  0.595  0.741  0.675
As  0.933  0.579  0.175
As  0.325  0.759  0.405
As  0.079  0.905  0.146
As  0.579  0.933  0.675
As  0.741  0.595  0.175
As  0.759  0.433  0.354
As  0.825  0.921  0.067
As  0.146  0.741  0.567
As  0.354  0.421  0.095
As  0.095  0.921  0.354
As  0.405  0.146  0.579
As  0.095  0.175  0.241
As  0.433  0.675  0.079
As  0.825  0.905  0.259
As  0.146  0.405  0.079
As  0.354  0.933  0.759
As  0.579  0.646  0.405
As  0.921  0.825  0.567
As  0.759  0.325  0.905
As  0.421  0.354  0.595
As  0.079  0.175  0.433
As  0.241  0.675  0.095
As  0.175  0.095  0.741
As  0.646  0.067  0.241
As  0.854  0.595  0.921
As  0.567  0.325  0.921
As  0.595  0.854  0.421
As  0.905  0.825  0.759
As  0.905  0.079  0.646
As  0.854  0.259  0.433
As  0.175  0.079  0.933
As  0.646  0.579  0.905
As  0.421  0.067  0.325
As  0.259  0.405  0.825
As  0.241  0.567  0.646
As  0.921  0.095  0.854
As  0.675  0.241  0.595
As  0.433  0.759  0.854
As  0.067  0.421  0.825
As  0.405  0.259  0.325
As  0.067  0.646  0.741
As  0.675  0.433  0.579
As  0.259  0.854  0.933

Summary:
* ρ: 6.57 g/cm3
* total moment: 0.00 μB/f.u.
* space-group type: Ia-3d (230)
* formation energy: -0.6669 eV per atom
* electronic total energy: -458.18 eV per cell

---

TbTh2As3 | PBE | relaxed

a b c (Å): 7.311 7.299 7.305
angles (deg): 80.40 59.97 70.54
Positions (direct):
Tb  0.333  0.000  0.334
Tb  0.667  0.000  0.666
Th  0.000  0.000  0.000
Th  0.500  0.500  0.000
Th  0.834  0.500  0.332
Th  0.166  0.500  0.668
As  0.581  0.246  0.337
As  0.744  0.755  0.000
As  0.419  0.754  0.663
As  0.082  0.754  0.337
As  0.918  0.246  0.663
As  0.256  0.245  0.000

Summary:
* ρ: 8.85 g/cm3
* total moment: 0.00 μB/f.u.
* space-group type: C2/m (12)
* ΔE to the lowest computed polymorph: 0.0031 eV/atom
* formation energy: -1.4445 eV per atom
* electronic total energy: -84.17 eV per cell

---

TbTmTh2As4 | PBE | relaxed

a b c (Å): 4.192 7.200 7.262
angles (deg): 70.30 90.00 90.00
Positions (direct):
Tb  0.000  0.500  0.500
Tm  0.500  0.500  0.000
Th  0.000  0.000  0.000
Th  0.500  0.000  0.500
As  0.000  0.740  0.756
As  0.000  0.260  0.244
As  0.500  0.742  0.251
As  0.500  0.258  0.749

Summary:
* ρ: 8.78 g/cm3
* total moment: 0.00 μB/f.u.
* space-group type: P2/m (10)
* formation energy: -1.4582 eV per atom
* electronic total energy: -54.20 eV per cell

---

Tb2TmThAs4 | PBE | relaxed

a b c (Å): 4.160 7.194 7.180
angles (deg): 70.53 90.00 90.00
Positions (direct):
Tb  0.000  0.000  0.000
Tb  0.500  0.000  0.500
Tm  0.000  0.500  0.500
Th  0.500  0.500  0.000
As  0.000  0.753  0.744
As  0.000  0.247  0.256
As  0.500  0.748  0.255
As  0.500  0.252  0.745

Summary:
* ρ: 8.35 g/cm3
* total moment: 0.00 μB/f.u.
* space-group type: P2/m (10)
* formation energy: -1.5071 eV per atom
* electronic total energy: -51.81 eV per cell

---

TbTm2ThAs4 | PBE | relaxed

a b c (Å): 4.141 7.141 7.158
angles (deg): 70.50 90.00 90.00
Positions (direct):
Tb  0.000  0.500  0.500
Tm  0.000  0.000  0.000
Tm  0.500  0.000  0.500
Th  0.500  0.500  0.000
As  0.000  0.760  0.744
As  0.000  0.240  0.256
As  0.500  0.757  0.250
As  0.500  0.243  0.750

Summary:
* ρ: 8.56 g/cm3
* total moment: 0.00 μB/f.u.
* space-group type: P2/m (10)
* formation energy: -1.4976 eV per atom
* electronic total energy: -51.57 eV per cell

---

Tb3Th2UAs6 | PBE | relaxed

a b c (Å): 4.169 8.351 9.334
angles (deg): 103.00 102.90 90.00
Site moments in Bohr magnetons follow the coordinates.
Positions (direct):
Tb  0.500  0.500  0.000  0.02
Tb  0.832  0.167  0.664  0.01
Tb  0.168  0.833  0.336  0.01
Th  0.835  0.669  0.670  0.04
Th  0.165  0.331  0.330  0.04
U  0.500  0.000  0.000  2.34
As  0.335  0.923  0.669  -0.02
As  0.666  0.586  0.331  0.00
As  0.665  0.077  0.331  -0.02
As  0.997  0.246  0.995  -0.03
As  0.003  0.754  0.005  -0.03
As  0.334  0.414  0.669  0.00

Summary:
* ρ: 8.77 g/cm3
* total moment: 2.72 μB/f.u.
* space-group type: C2/m (12)
* formation energy: -1.3553 eV per atom
* electronic total energy: -84.18 eV per cell

---

Tb3YTh4As8 | PBE | relaxed

a b c (Å): 8.417 8.366 8.417
angles (deg): 120.20 120.00 90.00
Positions (direct):
Tb  0.500  0.500  0.000
Tb  0.500  0.500  0.500
Tb  0.000  0.500  0.500
Y  0.000  0.500  0.000
Th  0.500  0.000  0.000
Th  0.500  0.000  0.500
Th  0.000  0.000  0.000
Th  0.000  0.000  0.500
As  0.248  0.743  0.996
As  0.248  0.743  0.495
As  0.252  0.256  0.504
As  0.748  0.743  0.996
As  0.252  0.257  0.004
As  0.748  0.744  0.496
As  0.752  0.257  0.505
As  0.752  0.257  0.004

Summary:
* ρ: 8.32 g/cm3
* total moment: 0.00 μB/f.u.
* space-group type: R-3m (166)
* formation energy: -1.4764 eV per atom
* electronic total energy: -110.85 eV per cell

---

Tb2YTh3As6 | PBE | relaxed

a b c (Å): 4.206 8.361 9.374
angles (deg): 102.59 102.96 90.00
Positions (direct):
Tb  0.833  0.667  0.667
Tb  0.167  0.333  0.333
Y  0.500  0.000  0.000
Th  0.500  0.500  0.000
Th  0.833  0.167  0.666
Th  0.167  0.833  0.334
As  0.335  0.913  0.670
As  0.668  0.580  0.336
As  0.665  0.087  0.330
As  0.001  0.246  0.003
As  0.999  0.754  0.997
As  0.332  0.420  0.664

Summary:
* ρ: 8.23 g/cm3
* total moment: 0.00 μB/f.u.
* space-group type: C2/m (12)
* formation energy: -1.4777 eV per atom
* electronic total energy: -83.61 eV per cell

---

TbY3Th4As8 | PBE | relaxed

a b c (Å): 8.410 8.359 8.410
angles (deg): 120.20 120.00 90.00
Positions (direct):
Tb  0.000  0.500  0.000
Y  0.500  0.500  0.000
Y  0.500  0.500  0.500
Y  0.000  0.500  0.500
Th  0.500  0.000  0.000
Th  0.500  0.000  0.500
Th  0.000  0.000  0.000
Th  0.000  0.000  0.500
As  0.248  0.743  0.995
As  0.248  0.743  0.496
As  0.252  0.257  0.505
As  0.747  0.743  0.995
As  0.253  0.257  0.005
As  0.748  0.743  0.495
As  0.752  0.257  0.504
As  0.752  0.257  0.005

Summary:
* ρ: 7.78 g/cm3
* total moment: 0.00 μB/f.u.
* space-group type: R-3m (166)
* formation energy: -1.4791 eV per atom
* electronic total energy: -114.56 eV per cell

---

TbY2ThAs4 | PBE | relaxed

a b c (Å): 4.171 7.201 7.206
angles (deg): 70.52 90.00 90.00
Positions (direct):
Tb  0.000  0.500  0.500
Y  0.000  0.000  0.000
Y  0.500  0.000  0.500
Th  0.500  0.500  0.000
As  0.000  0.755  0.745
As  0.000  0.245  0.255
As  0.500  0.752  0.251
As  0.500  0.248  0.749

Summary:
* ρ: 7.07 g/cm3
* total moment: 0.00 μB/f.u.
* space-group type: P2/m (10)
* formation energy: -1.5296 eV per atom
* electronic total energy: -55.81 eV per cell

---

TbTi2As4 | PBE | relaxed

a b c (Å): 3.776 6.459 12.364
angles (deg): 90.00 90.00 107.00
Positions (direct):
Tb  0.612  0.224  0.750
Tb  0.388  0.776  0.250
Ti  0.131  0.263  0.443
Ti  0.869  0.737  0.943
Ti  0.131  0.263  0.057
Ti  0.869  0.737  0.557
As  0.759  0.517  0.122
As  0.759  0.517  0.378
As  0.241  0.483  0.878
As  0.241  0.483  0.622
As  0.934  0.867  0.750
As  0.066  0.133  0.250
As  0.500  0.000  0.000
As  0.500  0.000  0.500

Summary:
* ρ: 6.39 g/cm3
* total moment: 0.00 μB/f.u.
* space-group type: Cmcm (63)
* formation energy: -0.8094 eV per atom
* electronic total energy: -89.37 eV per cell